Record 1
Density functional theory data (meta-GGA SCAN) for a PBEsol-optimized structure of BeZnRh2.

```
data_BeZnRh2
_cell_length_a 2.8241
_cell_length_b 2.8241
_cell_length_c 5.9100
_cell_angle_alpha 90.00
_cell_angle_beta 90.00
_cell_angle_gamma 90.00
_symmetry_space_group_name_H-M 'P 4/m m m'
_symmetry_Int_Tables_number 123
_symmetry_space_group_name_Hall '-P 4 2'
loop_
_atom_site_label
_atom_site_type_symbol
_atom_site_fract_x
_atom_site_fract_y
_atom_site_fract_z
_atom_site_occupancy
Be1 Be 0.0000 0.0000 0.0000 1
Zn1 Zn 0.0000 0.0000 0.5000 1
Rh1 Rh 0.5000 0.5000 0.2260 1
```

Properties
Spin magnetization = 0.00 μB per formula unit
Relative energy among the computed polymorphs = 0.000 eV per atom
Uncorrected energy = -0.80494 Ha/atom
Calculated formation energy = -0.5506 eV/atom

Record 2
Density functional theory data (meta-GGA SCAN) for a PBEsol-optimized structure of HgIr3Pb.

```
data_HgIr3Pb
_cell_length_a 4.8855
_cell_length_b 4.8855
_cell_length_c 4.8855
_cell_angle_alpha 90.00
_cell_angle_beta 90.00
_cell_angle_gamma 90.00
_symmetry_space_group_name_H-M 'P m -3 m'
_symmetry_Int_Tables_number 221
_symmetry_space_group_name_Hall '-P 4 2 3'
loop_
_atom_site_label
_atom_site_type_symbol
_atom_site_fract_x
_atom_site_fract_y
_atom_site_fract_z
_atom_site_occupancy
Hg1 Hg 0.0000 0.0000 0.0000 1
Ir1 Ir 0.0000 0.0000 0.5000 1
Pb1 Pb 0.5000 0.5000 0.5000 1
```

Properties
Spin magnetization = 3.06 μB per formula unit
Relative energy among the computed polymorphs = 0.000 eV per atom
Uncorrected energy = -2.54239 Ha/atom
Calculated formation energy = 2.2670 eV/atom

Record 3
Density functional theory data (meta-GGA SCAN) for a PBEsol-optimized structure of As2BrCl.

```
data_As2BrCl
_cell_length_a 10.5643
_cell_length_b 3.6532
_cell_length_c 5.7189
_cell_angle_alpha 90.00
_cell_angle_beta 100.75
_cell_angle_gamma 90.00
_symmetry_space_group_name_H-M 'C 1 m 1'
_symmetry_Int_Tables_number 8
_symmetry_space_group_name_Hall 'C -2y'
loop_
_atom_site_label
_atom_site_type_symbol
_atom_site_fract_x
_atom_site_fract_y
_atom_site_fract_z
_atom_site_occupancy
As1 As 0.0000 0.0000 0.0000 1
As2 As 0.0870 0.5000 0.2894 1
Br1 Br 0.3930 0.0000 0.4465 1
Cl1 Cl 0.1743 0.0000 0.8324 1
```

Properties
Spin magnetization = 0.00 μB per formula unit
Relative energy among the computed polymorphs = 0.000 eV per atom
Uncorrected energy = -0.63601 Ha/atom

Record 4
Density functional theory data (meta-GGA SCAN) for a PBEsol-optimized structure of Zn3CoRu.

```
data_Zn3CoRu
_cell_length_a 4.2875
_cell_length_b 4.2875
_cell_length_c 4.2875
_cell_angle_alpha 90.00
_cell_angle_beta 90.00
_cell_angle_gamma 90.00
_symmetry_space_group_name_H-M 'P m -3 m'
_symmetry_Int_Tables_number 221
_symmetry_space_group_name_Hall '-P 4 2 3'
loop_
_atom_site_label
_atom_site_type_symbol
_atom_site_fract_x
_atom_site_fract_y
_atom_site_fract_z
_atom_site_occupancy
Zn1 Zn 0.0000 0.0000 0.5000 1
Co1 Co 0.0000 0.0000 0.0000 1
Ru1 Ru 0.5000 0.5000 0.5000 1
```

Properties
Spin magnetization = 2.40 μB per formula unit
Uncorrected energy = -0.64679 Ha/atom
Calculated formation energy = 0.9351 eV/atom